(1)
Here is an optimized crystal structure of ZrBeZn11 from Alexandria. Energies are from PBE.

Cell and atoms, written as CIF:
```
data_ZrBeZn11
_chemical_formula_sum 'Zr2 Be2 Zn22'
_cell_length_a 5.119
_cell_length_b 12.257
_cell_length_c 6.552
_cell_angle_alpha 90.00
_cell_angle_beta 112.54
_cell_angle_gamma 90.00
_space_group_name_H-M_alt 'C 1 2/m 1'
_space_group_IT_number 12
loop_
_space_group_symop_operation_xyz
'x,y,z'
'-x,-y,-z'
'-x,y,-z'
'x,-y,z'
'x+1/2,y+1/2,z'
'-x+1/2,-y+1/2,-z'
'-x+1/2,y+1/2,-z'
'x+1/2,-y+1/2,z'
loop_
_atom_site_label
_atom_site_type_symbol
_atom_site_fract_x
_atom_site_fract_y
_atom_site_fract_z
_atom_site_occupancy
Zr1 Zr 0.000 0.000 0.000 1
Be1 Be 0.000 0.500 0.500 1
Zn1 Zn 0.000 0.000 0.500 1
Zn2 Zn 0.098 0.396 0.217 1
Zn3 Zn 0.188 0.171 0.356 1
Zn4 Zn 0.250 0.250 0.000 1
```

Computed properties:
magnetic moment = 0.00 μB/f.u.
energy relative to the elements = -0.0992 eV/atom

=====

(2)
Here is an optimized crystal structure of Cr2Tc from Alexandria. Energies are from PBE.

Cell and atoms, written as CIF:
```
data_Cr2Tc
_chemical_formula_sum 'Cr8 Tc4'
_cell_length_a 5.027
_cell_length_b 4.143
_cell_length_c 7.367
_cell_angle_alpha 90.00
_cell_angle_beta 90.00
_cell_angle_gamma 90.00
_space_group_name_H-M_alt 'P n m a'
_space_group_IT_number 62
loop_
_space_group_symop_operation_xyz
'x,y,z'
'-x,-y,-z'
'-x+1/2,-y,z+1/2'
'x+1/2,y,-z+1/2'
'x+1/2,-y+1/2,-z+1/2'
'-x+1/2,y+1/2,z+1/2'
'-x,y+1/2,-z'
'x,-y+1/2,z'
loop_
_atom_site_label
_atom_site_type_symbol
_atom_site_fract_x
_atom_site_fract_y
_atom_site_fract_z
_atom_site_occupancy
Cr1 Cr 0.007 0.250 0.245 1
Cr2 Cr 0.165 0.250 0.925 1
Tc1 Tc 0.168 0.250 0.580 1
```

Computed properties:
energy relative to the lowest polymorph listed for this composition = 90.3 meV per atom
magnetic moment = 0.00 μB/f.u.
energy relative to the elements = 0.1144 eV/atom

=====

(3)
Here is an optimized crystal structure of CdIr2W from Alexandria. Energies are from PBE.

Cell and atoms, written as CIF:
```
data_CdIr2W
_chemical_formula_sum 'Cd3 Ir6 W3'
_cell_length_a 2.8200
_cell_length_b 2.8200
_cell_length_c 28.0979
_cell_angle_alpha 90.00
_cell_angle_beta 90.00
_cell_angle_gamma 120.00
_space_group_name_H-M_alt 'R 3 m'
_space_group_IT_number 160
_space_group_name_Hall 'R 3 -2"'
loop_
_atom_site_label
_atom_site_type_symbol
_atom_site_fract_x
_atom_site_fract_y
_atom_site_fract_z
_atom_site_occupancy
Cd1 Cd 0.0000 0.0000 0.0000 1
Ir1 Ir 0.0000 0.0000 0.4983 1
Ir2 Ir 0.0000 0.0000 0.7508 1
W1 W 0.0000 0.0000 0.2409 1
```

Computed properties:
magnetic moment = 0.06 μB/f.u.
energy relative to the elements = 0.1827 eV/atom

=====

(4)
Here is an optimized crystal structure of Cs6H6Ir from Alexandria. Energies are from PBE.

Cell and atoms, written as CIF:
```
data_Cs6H6Ir
_chemical_formula_sum 'Cs6 H6 Ir1'
_cell_length_a 7.7758
_cell_length_b 7.7758
_cell_length_c 8.2016
_cell_angle_alpha 90.00
_cell_angle_beta 90.00
_cell_angle_gamma 120.00
_space_group_name_H-M_alt 'P 6/m m m'
_space_group_IT_number 191
_space_group_name_Hall '-P 6 2'
loop_
_atom_site_label
_atom_site_type_symbol
_atom_site_fract_x
_atom_site_fract_y
_atom_site_fract_z
_atom_site_occupancy
Cs1 Cs 0.0000 0.5000 0.2374 1
H1 H 0.0000 0.0000 0.2083 1
H2 H 0.3333 0.6667 0.0000 1
H3 H 0.3333 0.6667 0.5000 1
Ir1 Ir 0.0000 0.0000 0.0000 1
```

Computed properties:
magnetic moment = 1.00 μB/f.u.
uncorrected energy = -2.540 eV/atom

=====

(5)
Here is an optimized crystal structure of MgNiSn2Pb from Alexandria. Energies are from PBE.

Cell and atoms, written as CIF:
```
data_MgNiSn2Pb
_chemical_formula_sum 'Mg1 Ni1 Sn2 Pb1'
_cell_length_a 4.983
_cell_length_b 4.983
_cell_length_c 5.013
_cell_angle_alpha 90.00
_cell_angle_beta 90.00
_cell_angle_gamma 90.00
_space_group_name_H-M_alt 'P 4/m m m'
_space_group_IT_number 123
_space_group_name_Hall '-P 4 2'
loop_
_atom_site_label
_atom_site_type_symbol
_atom_site_fract_x
_atom_site_fract_y
_atom_site_fract_z
_atom_site_occupancy
Mg1 Mg 0.000 0.000 0.000 1
Ni1 Ni 0.000 0.000 0.500 1
Sn1 Sn 0.000 0.500 0.500 1
Pb1 Pb 0.500 0.500 0.000 1
```

Computed properties:
magnetic moment = 0.00 μB/f.u.
energy relative to the elements = 0.0109 eV/atom

=====

(6)
Here is an optimized crystal structure of Ag4SeIF from Alexandria. Energies are from PBE.

Cell and atoms, written as CIF:
```
data_Ag4SeIF
_chemical_formula_sum 'Ag8 Se2 I2 F2'
_cell_length_a 5.678
_cell_length_b 6.317
_cell_length_c 9.494
_cell_angle_alpha 90.00
_cell_angle_beta 104.49
_cell_angle_gamma 90.00
_space_group_name_H-M_alt 'P 1 21/m 1'
_space_group_IT_number 11
loop_
_space_group_symop_operation_xyz
'x,y,z'
'-x,-y,-z'
'-x,y+1/2,-z'
'x,-y+1/2,z'
loop_
_atom_site_label
_atom_site_type_symbol
_atom_site_fract_x
_atom_site_fract_y
_atom_site_fract_z
_atom_site_occupancy
Ag1 Ag 0.139 0.018 0.199 1
Ag2 Ag 0.183 0.250 0.671 1
Ag3 Ag 0.274 0.750 0.976 1
Se1 Se 0.248 0.250 0.976 1
I1 I 0.135 0.750 0.622 1
F1 F 0.403 0.750 0.313 1
```

Computed properties:
magnetic moment = 0.00 μB/f.u.
formation energy without anion corrections = -33 kJ/mol of atoms

=====

(7)
Here is an optimized crystal structure of BaTaS3 from Alexandria. Energies are from PBE.

Cell and atoms, written as CIF:
```
data_BaTaS3
_chemical_formula_sum 'Ba2 Ta2 S6'
_cell_length_a 6.866
_cell_length_b 7.361
_cell_length_c 7.990
_cell_angle_alpha 84.29
_cell_angle_beta 68.58
_cell_angle_gamma 62.39
_space_group_name_H-M_alt 'P 1'
_space_group_IT_number 1
loop_
_space_group_symop_operation_xyz
'x,y,z'
loop_
_atom_site_label
_atom_site_type_symbol
_atom_site_fract_x
_atom_site_fract_y
_atom_site_fract_z
_atom_site_occupancy
Ba1 Ba 0.000 0.000 0.000 1
Ba2 Ba 0.122 0.360 0.424 1
Ta1 Ta 0.373 0.776 0.370 1
Ta2 Ta 0.753 0.591 0.060 1
S1 S 0.033 0.974 0.600 1
S2 S 0.084 0.396 0.821 1
S3 S 0.342 0.617 0.141 1
S4 S 0.491 0.948 0.067 1
S5 S 0.705 0.385 0.306 1
S6 S 0.722 0.787 0.340 1
```

Computed properties:
magnetic moment = 0.00 μB/f.u.
formation energy without anion corrections = -109 kJ/mol of atoms

=====

(8)
Here is an optimized crystal structure of Li7Zn2 from Alexandria. Energies are from PBE.

Cell and atoms, written as CIF:
```
data_Li7Zn2
_chemical_formula_sum 'Li7 Zn2'
_cell_length_a 8.0048
_cell_length_b 8.0048
_cell_length_c 2.7913
_cell_angle_alpha 90.00
_cell_angle_beta 90.00
_cell_angle_gamma 120.00
_space_group_name_H-M_alt 'P -6 2 m'
_space_group_IT_number 189
_space_group_name_Hall 'P -6 -2'
loop_
_atom_site_label
_atom_site_type_symbol
_atom_site_fract_x
_atom_site_fract_y
_atom_site_fract_z
_atom_site_occupancy
Li1 Li 0.0000 0.0000 0.0000 1
Li2 Li 0.0000 0.3178 0.5000 1
Li3 Li 0.0000 0.6342 0.0000 1
Zn1 Zn 0.3333 0.6667 0.5000 1
```

Computed properties:
energy relative to the lowest polymorph listed for this composition = 20.6 meV per atom
magnetic moment = 0.00 μB/f.u.
energy relative to the elements = -0.0459 eV/atom